Model i:
La2CeSe4 | PBE | optimized geometry

The structure in extended XYZ format:
```
14
Lattice="4.170 0.000 0.000 -2.085 7.151 0.000 0.000 0.000 14.226" Properties=species:S:1:pos:R:3 pbc="T T T"
Ce 0.000 5.380 3.556
Ce 2.085 1.771 10.669
La 2.085 5.277 13.228
La 2.085 5.277 8.110
La 0.000 1.874 0.998
La 0.000 1.874 6.115
Se 0.000 3.198 12.455
Se 2.085 3.953 5.342
Se 2.085 0.000 7.113
Se 2.085 0.000 0.000
Se 2.085 6.786 10.669
Se 0.000 0.365 3.556
Se 0.000 3.198 8.884
Se 2.085 3.953 1.771
```



Model ii:
La2CeSe4 | PBE | optimized geometry

The structure in extended XYZ format:
```
14
Lattice="-2.813 -6.045 -4.116 7.154 1.833 -2.619 0.419 -1.955 7.577" Properties=species:S:1:pos:R:3 pbc="T T T"
Se 6.246 0.179 -0.033
Se -0.519 -3.115 -0.523
Se 3.818 -3.446 -0.556
Se 3.616 -2.471 -4.345
Se 1.374 -2.928 4.854
Se -0.025 -5.953 2.794
Se 2.667 -0.740 1.269
Se 1.863 -6.196 -0.096
La 1.534 -3.553 1.702
La 3.825 -0.614 -1.726
La 5.512 -2.129 1.842
La -1.350 -6.038 -0.136
Ce 1.572 -4.106 -2.503
Ce 0.000 0.000 0.000
```



Each structure's energy above the most stable one, in eV/atom: model i 0.040; model ii 0.000.



Model i:
La2Ce3Se8 | PBE | optimized geometry

The structure in extended XYZ format:
```
13
Lattice="-1.195 -4.253 2.388 5.242 -5.368 -6.936 3.361 3.282 7.526" Properties=species:S:1:pos:R:3 pbc="T T T"
La 4.807 -4.532 -0.385
La 2.601 -1.807 3.364
Ce -0.598 -2.126 1.194
Ce 3.797 -3.888 -5.023
Ce 4.806 1.802 5.614
Se 2.563 -0.269 6.084
Se 2.101 -3.261 0.524
Se 3.301 -3.803 5.438
Se 4.107 -2.536 -2.459
Se 7.223 -2.224 -0.346
Se 4.845 -6.070 -3.105
Se 5.307 -3.078 2.454
Se 1.380 0.138 0.936
```



Model ii:
La2Ce3Se8 | PBE | optimized geometry

The structure in extended XYZ format:
```
13
Lattice="-5.040 -2.706 4.380 4.859 -6.903 1.326 2.429 7.627 3.268" Properties=species:S:1:pos:R:3 pbc="T T T"
Se 3.312 2.990 3.432
Se -3.548 -1.547 4.946
Se 2.008 -0.324 5.890
Se 2.876 -5.403 3.803
Se -0.628 3.420 5.171
Se 0.240 -1.658 3.084
Se 5.796 -0.435 4.029
Se -1.064 -4.973 5.543
Ce 1.266 -1.799 0.346
Ce 3.593 -5.104 0.981
Ce -2.520 -1.353 2.190
La 0.870 1.300 3.579
La 1.378 -3.282 5.396
```



Each structure's energy above the most stable one, in eV/atom: model i 0.030; model ii 0.000.



Model i:
La2Ce3Si4 | PBE | optimized geometry

The structure in extended XYZ format:
```
18
Lattice="-7.255 1.975 1.850 0.879 -7.525 2.143 2.450 2.318 7.135" Properties=species:S:1:pos:R:3 pbc="T T T"
Ce -3.188 -2.775 1.996
Ce 0.070 0.230 5.892
Ce -3.245 1.513 7.727
Ce -3.996 -3.461 5.236
Ce -0.681 -4.744 3.401
Ce 1.665 -2.603 4.639
Si -5.064 2.378 5.569
Si -5.686 -1.711 3.494
Si -0.344 2.424 7.823
Si 1.760 -1.520 7.634
Si 1.137 -5.609 5.559
Si -1.386 -2.063 4.526
Si -3.582 -5.655 3.305
Si -2.540 -1.169 6.602
La -3.294 0.382 3.801
La -0.632 -3.614 7.327
La -0.010 -0.930 1.877
La -3.916 -2.301 9.251
```



Model ii:
La2Ce3Si4 | PBE | optimized geometry

The structure in extended XYZ format:
```
18
Lattice="-1.682 4.045 -5.443 -8.061 -1.434 1.426 0.555 4.483 7.645" Properties=species:S:1:pos:R:3 pbc="T T T"
Ce -4.872 1.306 -2.008
Ce -3.396 5.377 -1.681
Ce -2.555 3.354 1.040
Ce 0.000 0.000 0.000
Ce -5.793 1.717 5.309
Ce -6.634 3.740 2.588
Si -3.295 3.087 -3.414
Si -3.800 3.435 3.728
Si -6.735 6.030 4.321
Si -5.894 4.007 7.042
Si -5.389 3.659 -0.100
Si -2.454 1.064 -0.693
Si -7.758 1.065 3.189
Si -1.431 6.029 0.438
La -4.716 0.562 1.875
La -4.472 6.532 1.753
La -0.849 5.004 3.982
La -8.339 2.090 -0.354
```



Each structure's energy above the most stable one, in eV/atom: model i 0.000; model ii 0.175.



Model i:
La2CeSi | PBE | optimized geometry

The structure in extended XYZ format:
```
4
Lattice="5.353 0.000 0.000 2.676 4.636 0.000 2.676 1.545 4.372" Properties=species:S:1:pos:R:3 pbc="T T T"
La 8.029 4.636 3.281
La 2.676 1.545 1.091
Si 0.000 0.000 0.000
Ce 5.353 3.090 2.186
```



Model ii:
La2CeSi | PBE | optimized geometry

The structure in extended XYZ format:
```
4
Lattice="4.717 0.000 0.000 0.000 4.793 0.000 0.000 0.000 4.793" Properties=species:S:1:pos:R:3 pbc="T T T"
La 0.000 2.396 0.000
La 0.000 0.000 2.396
Si 2.358 0.000 0.000
Ce 2.358 2.396 2.396
```



Each structure's energy above the most stable one, in eV/atom: model i 0.238; model ii 0.000.



Model i:
LaCe2Si2 | PBE | optimized geometry

The structure in extended XYZ format:
```
10
Lattice="4.069 0.000 0.000 0.000 5.682 0.002 0.000 -1.420 11.030" Properties=species:S:1:pos:R:3 pbc="T T T"
Ce 3.051 3.584 5.171
Ce 1.017 0.678 5.861
Ce 3.051 0.481 0.865
Ce 1.017 3.781 10.167
Si 3.051 3.375 0.393
Si 1.017 3.441 7.265
Si 1.017 0.887 10.639
Si 3.051 0.821 3.767
La 3.051 0.920 8.303
La 1.017 3.342 2.729
```



Model ii:
LaCe2Si2 | PBE | optimized geometry

The structure in extended XYZ format:
```
10
Lattice="4.175 0.000 0.000 0.000 7.787 0.000 0.000 0.000 7.787" Properties=species:S:1:pos:R:3 pbc="T T T"
Si 0.000 0.863 3.031
Si 0.000 4.757 0.863
Si 0.000 6.924 4.757
Si 0.000 3.031 6.924
Ce 2.088 5.281 6.400
Ce 2.088 2.506 1.387
Ce 2.088 1.387 5.281
Ce 2.088 6.400 2.506
La 0.000 3.894 3.894
La 0.000 0.000 0.000
```



Each structure's energy above the most stable one, in eV/atom: model i 0.205; model ii 0.000.



Model i:
LaCeSm | PBE | optimized geometry

The structure in extended XYZ format:
```
6
Lattice="-0.797 -2.886 1.672 3.642 -4.634 -6.263 5.783 0.246 3.181" Properties=species:S:1:pos:R:3 pbc="T T T"
Ce 4.523 -3.854 -4.496
Ce 4.902 -0.535 1.414
La 7.011 -5.168 -2.061
La 1.617 -2.107 0.651
Sm 1.821 -2.317 -3.131
Sm 4.713 -2.194 -1.541
```



Model ii:
LaCeSm | PBE | optimized geometry

The structure in extended XYZ format:
```
3
Lattice="3.570 0.000 0.000 0.000 3.570 0.000 -1.785 -1.785 7.624" Properties=species:S:1:pos:R:3 pbc="T T T"
Sm 0.000 0.000 0.159
Ce 1.785 1.785 2.545
La 0.000 0.000 4.919
```



Each structure's energy above the most stable one, in eV/atom: model i 0.158; model ii 0.000.



Model i:
LaCeSm | PBE | optimized geometry

The structure in extended XYZ format:
```
6
Lattice="-5.510 -1.966 -2.204 1.692 -1.728 -2.691 -13.984 -10.019 2.509" Properties=species:S:1:pos:R:3 pbc="T T T"
Ce -9.079 -6.764 0.090
Ce -10.945 -8.621 -2.317
Sm -16.222 -11.709 -1.230
Sm -3.802 -3.676 -0.996
La -5.700 -5.563 -3.411
La -14.324 -9.822 1.184
```



Model ii:
LaCeSm | PBE | optimized geometry

The structure in extended XYZ format:
```
3
Lattice="3.490 0.000 0.000 0.000 5.725 0.000 0.000 -2.863 4.958" Properties=species:S:1:pos:R:3 pbc="T T T"
Ce 0.582 0.000 3.305
Sm 2.327 2.863 1.653
La 0.582 0.000 0.000
```



Each structure's energy above the most stable one, in eV/atom: model i 0.000; model ii 0.053.



Model i:
LaCe2Sm | PBE | optimized geometry

The structure in extended XYZ format:
```
4
Lattice="-3.357 -1.832 1.611 0.315 -2.189 3.512 -2.689 5.749 6.277" Properties=species:S:1:pos:R:3 pbc="T T T"
Ce -2.367 4.386 5.399
Ce -1.350 0.082 2.624
La -4.696 2.980 9.636
Sm -2.872 0.892 5.719
```



Model ii:
LaCe2Sm | PBE | optimized geometry

The structure in extended XYZ format:
```
4
Lattice="3.496 0.000 0.000 0.000 3.496 0.000 0.000 0.000 10.209" Properties=species:S:1:pos:R:3 pbc="T T T"
Sm 1.748 1.748 0.000
Ce 0.000 0.000 2.570
Ce 0.000 0.000 7.639
La 1.748 1.748 5.105
```



Each structure's energy above the most stable one, in eV/atom: model i 0.355; model ii 0.000.



Model i:
LaCe2Sm | PBE | optimized geometry

The structure in extended XYZ format:
```
4
Lattice="-3.370 -0.475 -0.445 -1.128 -2.030 -2.527 -1.140 -10.488 6.604" Properties=species:S:1:pos:R:3 pbc="T T T"
La -2.819 -6.497 1.816
Ce -1.233 -7.976 4.627
Ce -4.404 -5.017 -0.995
Sm 0.000 0.000 0.000
```



Model ii:
LaCe2Sm | PBE | optimized geometry

The structure in extended XYZ format:
```
4
Lattice="5.117 0.000 0.000 0.000 4.967 0.000 0.000 0.000 4.967" Properties=species:S:1:pos:R:3 pbc="T T T"
La 2.558 0.000 0.000
Ce 0.000 0.000 2.484
Ce 0.000 2.484 0.000
Sm 2.558 2.484 2.484
```



Each structure's energy above the most stable one, in eV/atom: model i 0.127; model ii 0.000.



Model i:
La7CeSm12 | PBE | optimized geometry

The structure in extended XYZ format:
```
20
Lattice="9.449 0.000 -3.341 -4.724 8.183 -3.341 0.000 0.000 10.022" Properties=species:S:1:pos:R:3 pbc="T T T"
Sm 4.731 4.122 3.331
Sm 5.929 2.025 6.672
Sm 3.542 6.158 0.025
Sm 1.182 2.025 3.316
Sm 1.211 6.147 3.350
Sm -0.007 4.061 0.009
Sm -2.380 8.171 3.366
Sm 5.887 6.147 -3.366
Sm -1.204 6.158 -3.331
Sm -1.163 2.036 6.706
Sm 7.104 0.011 -0.025
Sm 3.514 2.036 -0.009
La 4.724 0.000 3.341
La 2.362 4.091 1.670
La 4.724 0.000 -1.670
La 2.362 4.091 -3.341
La 0.000 0.000 5.011
La -2.362 4.091 3.341
La -2.362 4.091 -1.670
Ce 0.000 0.000 0.000
```



Model ii:
La7CeSm12 | PBE | optimized geometry

The structure in extended XYZ format:
```
20
Lattice="-8.316 -2.061 2.280 2.883 -7.827 3.003 1.385 3.685 7.943" Properties=species:S:1:pos:R:3 pbc="T T T"
La 0.051 -7.901 3.952
La -2.024 -3.101 6.613
La 3.218 -5.108 8.321
La -7.266 -1.095 4.904
La 1.873 0.811 8.595
La -5.921 -7.014 4.630
La -4.099 1.698 9.274
Sm 0.872 -5.029 5.652
Sm -4.939 -3.599 4.544
Sm -2.401 -2.413 10.046
Sm -4.920 -1.174 7.573
Sm -1.647 -3.790 3.180
Sm 0.891 -2.604 8.681
Sm -1.226 -5.682 8.872
Sm 0.652 -1.539 4.939
Sm -2.822 -0.521 4.353
Sm -1.346 0.333 7.488
Sm -2.702 -6.536 5.737
Sm -4.700 -4.664 8.286
Ce 0.000 0.000 0.000
```



Each structure's energy above the most stable one, in eV/atom: model i 0.385; model ii 0.000.



Model i:
LaCe2Sn | PBE | optimized geometry

The structure in extended XYZ format:
```
4
Lattice="-5.125 1.134 -1.519 -3.548 -4.060 -0.888 -4.129 -0.831 3.481" Properties=species:S:1:pos:R:3 pbc="T T T"
Sn -6.401 -1.879 0.537
Ce -9.601 -2.818 0.805
Ce -3.200 -0.939 0.268
La 0.000 0.000 0.000
```



Model ii:
LaCe2Sn | PBE | optimized geometry

The structure in extended XYZ format:
```
8
Lattice="-0.621 -3.735 -2.357 3.805 -1.805 1.857 -7.918 -3.671 7.904" Properties=species:S:1:pos:R:3 pbc="T T T"
La -3.845 -3.709 4.781
La -0.889 -5.502 2.624
Sn -1.991 -2.422 2.253
Sn -2.743 -6.789 5.152
Ce 1.275 -2.447 1.432
Ce 2.453 -5.011 0.965
Ce -7.187 -4.200 6.440
Ce -6.009 -6.764 5.973
```



Each structure's energy above the most stable one, in eV/atom: model i 0.233; model ii 0.000.



Model i:
LaCe2Sn | PBE | optimized geometry

The structure in extended XYZ format:
```
4
Lattice="4.200 0.000 0.000 0.000 4.200 0.000 0.000 0.000 7.024" Properties=species:S:1:pos:R:3 pbc="T T T"
Sn 2.100 2.100 3.512
La 2.100 2.100 0.000
Ce 0.000 0.000 4.909
Ce 0.000 0.000 2.115
```



Model ii:
LaCe2Sn | PBE | optimized geometry

The structure in extended XYZ format:
```
4
Lattice="4.950 0.000 0.000 0.000 4.839 0.000 0.000 0.000 4.839" Properties=species:S:1:pos:R:3 pbc="T T T"
Ce 0.000 0.000 2.420
Ce 0.000 2.420 0.000
Sn 2.475 2.420 2.420
La 2.475 0.000 0.000
```



Each structure's energy above the most stable one, in eV/atom: model i 0.083; model ii 0.000.